A plane-wave DFT calculation with PBE+U was carried out for an optimized crystal structure of CoTcPO2.

Calculated values
Its space group is No. 123. The distance to the lowest polymorph of the same formula is 335.6 kJ/mol of formula units. The mass density is 5.8 g cm⁻³. As for the total energy: -5.93 eV per atom.

Cell: 3.621 3.621 4.781 Å, 90.00 90.00 90.00°
Site moments in Bohr magnetons follow the coordinates.
Positions (direct):
P (0.000, 0.000, 0.500)  -0.08
Co (0.000, 0.000, 0.000)  1.70
Tc (0.500, 0.500, 0.500)  2.53
O (0.000, 0.500, 0.000)  0.25
O (0.500, 0.000, 0.000)  0.25